The following is a DFT calculation (GGA-PBE) of a relaxed BaPmAs2Pt4 crystal.

## Properties
**Space-group type**: P4/mmm, No. 123

Cell: 4.139 4.139 10.786 Å, 90.00 90.00 90.00°
Atoms (fractional coordinates):
Pt: 0.500 0.000 0.797
Pt: 0.000 0.500 0.797
Pt: 0.000 0.500 0.203
Pt: 0.500 0.000 0.203
Ba: 0.000 0.000 0.500
As: 0.500 0.500 0.671
As: 0.500 0.500 0.329
Pm: 0.000 0.000 0.000

***

The following is a DFT calculation (GGA-PBE) of a relaxed Ba2PmAs3Pt4 crystal.

## Properties
**Space-group type**: P-4m2, No. 115

Cell: 4.522 4.522 11.354 Å, 90.00 90.00 90.00°
Atoms (fractional coordinates):
Pt: 0.000 0.500 0.341
Pt: 0.500 0.000 0.659
Pt: 0.500 0.500 0.000
Pt: 0.000 0.000 0.000
Ba: 0.500 0.000 0.227
Ba: 0.000 0.500 0.773
Pm: 0.500 0.500 0.500
As: 0.000 0.000 0.500
As: 0.000 0.500 0.115
As: 0.500 0.000 0.885

***

The following is a DFT calculation (GGA-PBE) of a relaxed Ba2PmThAs4 crystal.

## Properties
**Space-group type**: P2/m, No. 10

Cell: 4.432 7.677 7.971 Å, 108.77 90.00 90.00°
Atoms (fractional coordinates):
As: 0.000 0.740 0.214
As: 0.000 0.260 0.786
As: 0.500 0.235 0.213
As: 0.500 0.765 0.787
Ba: 0.000 0.500 0.500
Ba: 0.500 0.000 0.500
Th: 0.000 0.000 0.000
Pm: 0.500 0.500 0.000

***

The following is a DFT calculation (GGA-PBE) of a relaxed Ba2PmUAs4 crystal.

## Properties
**Space-group type**: P2/m, No. 10

Cell: 4.388 7.529 7.889 Å, 108.65 90.00 90.00°
Atoms (fractional coordinates):
Ba: 0.500 0.000 0.500
Ba: 0.000 0.500 0.500
U: 0.000 0.000 0.000
As: 0.500 0.221 0.201
As: 0.000 0.247 0.793
As: 0.000 0.753 0.207
As: 0.500 0.779 0.799
Pm: 0.500 0.500 0.000

***

The following is a DFT calculation (GGA-PBE) of a relaxed Ba3Pm2UAs6 crystal.

## Properties
**Space-group type**: C2/m, No. 12

Cell: 7.561 7.561 7.915 Å, 99.17 99.17 119.98°
Atoms (fractional coordinates):
As: 0.068 0.381 0.206
As: 0.242 0.242 0.792
As: 0.932 0.619 0.794
As: 0.381 0.068 0.206
As: 0.619 0.932 0.794
As: 0.758 0.758 0.208
Ba: 0.171 0.829 0.500
Ba: 0.500 0.500 0.500
Ba: 0.829 0.171 0.500
Pm: 0.666 0.334 0.000
Pm: 0.334 0.666 0.000
U: 0.000 0.000 0.000

***

The following is a DFT calculation (GGA-PBE) of a relaxed BaPrAs2Pt4 crystal.

## Properties
**Space-group type**: P4/mmm, No. 123

Cell: 4.148 4.148 10.858 Å, 90.00 90.00 90.00°
Atoms (fractional coordinates):
Pt: 0.000 0.500 0.794
Pt: 0.000 0.500 0.206
Pt: 0.500 0.000 0.206
Pt: 0.500 0.000 0.794
Ba: 0.000 0.000 0.500
Pr: 0.000 0.000 0.000
As: 0.500 0.500 0.669
As: 0.500 0.500 0.331

***

ΔH_f (0 K) for every record listed, in sequence, given in kJ/mol of formula units: -577; -788; -950; -844; -1344; -563.
Total moment for every record listed, in sequence, given in μB per formula unit: 0.000; 0.000; 0.000; 1.001; 0.000; 0.000.